1.
The following is a GGA-PBE calculation of a geometry-optimized BiAuI2O structure, from the Alexandria database.

For the energy above the lowest structure with this stoichiometry, the calculation gives 166 meV per atom. For the uncorrected formation energy, the calculation gives 0.252 eV per atom. The calculation puts the mass density at 8.02 g/cm³. Its total magnetization is 0.000 μB per atom.

Unit cell a=5.9454 b=5.9454 c=3.9572 alpha=90.00 beta=90.00 gamma=90.00
Last column: nearest neighbours and their distance in Å.
Space group P4/mmm (No. 123)
Asymmetric unit:
Bi (0.0000, 0.0000, 0.0000) x1  8 I 3.57, 2 Bi 3.96
Au (0.5000, 0.5000, 0.5000) x1  2 O 1.98
I (0.0000, 0.5000, 0.5000) x2  2 Au 2.97
O (0.5000, 0.5000, 0.0000) x1  2 Au 1.98



2.
The following is a GGA-PBE calculation of a geometry-optimized Y2WBr structure, from the Alexandria database.

For the energy above the lowest structure with this stoichiometry, the calculation gives 290 meV per atom. For the uncorrected formation energy, the calculation gives 0.100 eV per atom. The calculation puts the mass density at 7.73 g/cm³. Its total magnetization is 0.000 μB per atom.

Unit cell a=7.6369 b=7.6381 c=3.2539 alpha=90.00 beta=90.13 gamma=90.00
Last column: nearest neighbours and their distance in Å.
Space group C2/m (No. 12)
Asymmetric unit:
Y (0.2500, 0.2500, 0.0000) x4  4 W 3.15, 4 Br 3.15, 2 Y 3.25
W (0.0000, 0.0000, 0.5000) x2  8 Y 3.15, 2 W 3.25
Br (0.0000, 0.5000, 0.5000) x2  8 Y 3.15, 2 Br 3.25



3.
The following is a GGA-PBE calculation of a geometry-optimized La2Tb4Pr5 structure, from the Alexandria database.

For the energy above the lowest structure with this stoichiometry, the calculation gives 0 meV per atom. The calculation puts the mass density at 6.97 g/cm³. As for the energy of formation from the pure elements: 0.06 eV per atom. Its total magnetization is 0.000 μB per atom.

Unit cell a=18.1093 b=3.5934 c=11.8846 alpha=90.00 beta=94.03 gamma=90.00
Last column: nearest neighbours and their distance in Å.
Space group C2/m (No. 12)
Asymmetric unit:
La (0.2180, 0.0000, 0.3551) x4  5 Pr 3.53-3.86, 2 La 3.59, 4 Tb 3.73-3.93
Tb (0.0311, 0.5000, 0.2588) x4  5 Pr 3.42-3.57, 4 Tb 3.59-3.60
Tb (0.1394, 0.0000, 0.7995) x4  6 Pr 3.58-3.71, 4 Tb 3.59-3.60, 2 La 3.73
Pr (0.0000, 0.0000, 0.0000) x2  6 Tb 3.57-3.59, 6 Pr 3.59-3.70
Pr (0.0953, 0.5000, 0.5364) x4  4 Tb 3.42-3.65, 3 Pr 3.50-3.59, 3 La 3.53-3.67
Pr (0.1760, 0.5000, 0.0706) x4  4 Tb 3.57-3.71, 6 Pr 3.59-3.72, 2 La 3.86



4.
The following is a GGA-PBE calculation of a geometry-optimized ZrAl2MoN structure, from the Alexandria database.

For the uncorrected formation energy, the calculation gives 0.489 eV per atom. The calculation puts the mass density at 4.50 g/cm³. Its total magnetization is 0.000 μB per atom.

Unit cell a=4.9706 b=4.9706 c=3.8087 alpha=90.00 beta=90.00 gamma=90.00
Last column: nearest neighbours and their distance in Å.
Space group P4/mmm (No. 123)
Asymmetric unit:
Zr (0.0000, 0.0000, 0.0000) x1  8 Al 3.13
Al (0.0000, 0.5000, 0.5000) x2  2 Mo 2.49
Mo (0.5000, 0.5000, 0.5000) x1  2 N 1.90
N (0.5000, 0.5000, 0.0000) x1  2 Mo 1.90